A plane-wave DFT calculation with PBE was carried out for an optimized crystal structure of Cs2AlSBr6.

## Properties
Formation energy (no corrections) in eV/atom: -1.00
Magnetization in μB/f.u.: 1.0
DFT total energy in Ry/atom: -0.217
Density of states at the Fermi level in states/eV/atom: 0.38

a = 8.284 Å, b = 8.284 Å, c = 10.558 Å
α = 90.00°, β = 90.00°, γ = 90.00°
Space group I4/mmm (No. 139)
One atom of each set of equivalent atoms:
Cs1 0.000 0.500 0.250 [4 per cell]
Al1 0.000 0.000 0.000 [2 per cell]
S1 0.000 0.000 0.500 [2 per cell]
Br1 0.000 0.000 0.268 [4 per cell]
Br2 0.210 0.210 0.000 [8 per cell]



A plane-wave DFT calculation with PBE was carried out for an optimized crystal structure of CsScAl2Br.

## Properties
Formation energy (no corrections) in eV/atom: 0.71
Magnetization in μB/f.u.: 0.0
DFT total energy in Ry/atom: -0.188
Density of states at the Fermi level in states/eV/atom: 1.14

a = 5.489 Å, b = 5.489 Å, c = 6.145 Å
α = 90.00°, β = 90.00°, γ = 90.00°
Space group P4/mmm (No. 123)
One atom of each set of equivalent atoms:
Cs1 0.000 0.000 0.000 [1 per cell]
Sc1 0.500 0.500 0.000 [1 per cell]
Al1 0.000 0.500 0.500 [2 per cell]
Br1 0.000 0.000 0.500 [1 per cell]



A plane-wave DFT calculation with PBE was carried out for an optimized crystal structure of Cs2AlSiBr6.

## Properties
Formation energy (no corrections) in eV/atom: -1.06
Magnetization in μB/f.u.: 0.0
DFT total energy in Ry/atom: -0.232
Density of states at the Fermi level in states/eV/atom: 0.31

a = 7.748 Å, b = 7.748 Å, c = 10.920 Å
α = 90.00°, β = 90.00°, γ = 90.00°
Space group I4/mmm (No. 139)
One atom of each set of equivalent atoms:
Cs1 0.000 0.500 0.250 [4 per cell]
Al1 0.000 0.000 0.000 [2 per cell]
Si1 0.000 0.000 0.500 [2 per cell]
Br1 0.000 0.000 0.244 [4 per cell]
Br2 0.245 0.245 0.000 [8 per cell]



A plane-wave DFT calculation with PBE was carried out for an optimized crystal structure of Cs2AlSnBr6.

## Properties
Formation energy (no corrections) in eV/atom: -1.20
Magnetization in μB/f.u.: 0.0
DFT total energy in Ry/atom: -0.232
Density of states at the Fermi level in states/eV/atom: 0.34

a = 8.002 Å, b = 8.002 Å, c = 11.286 Å
α = 90.00°, β = 90.00°, γ = 90.00°
Space group I4/mmm (No. 139)
One atom of each set of equivalent atoms:
Cs1 0.000 0.500 0.250 [4 per cell]
Al1 0.000 0.000 0.000 [2 per cell]
Sn1 0.000 0.000 0.500 [2 per cell]
Br1 0.000 0.000 0.234 [4 per cell]
Br2 0.235 0.235 0.000 [8 per cell]



A plane-wave DFT calculation with PBE was carried out for an optimized crystal structure of CsAl2SnBr8.

## Properties
Formation energy (no corrections) in eV/atom: -1.05
Magnetization in μB/f.u.: 1.0
DFT total energy in Ry/atom: -0.235
Density of states at the Fermi level in states/eV/atom: 0.58

a = 7.0465 Å, b = 7.0465 Å, c = 32.9744 Å
α = 90.00°, β = 90.00°, γ = 120.00°
Space group R-3 (No. 148, hexagonal axes)
One atom of each set of equivalent atoms:
Cs1 0.0000 0.0000 0.0000 [3 per cell]
Al1 0.0000 0.0000 0.2550 [6 per cell]
Sn1 0.0000 0.0000 0.5000 [3 per cell]
Br1 0.0000 0.0000 0.3256 [6 per cell]
Br2 0.0094 0.3625 0.4345 [18 per cell]



A plane-wave DFT calculation with PBE was carried out for an optimized crystal structure of CsAlSnBr6.

## Properties
Formation energy (no corrections) in eV/atom: -1.14
Magnetization in μB/f.u.: 0.0
DFT total energy in Ry/atom: -0.236
Density of states at the Fermi level in states/eV/atom: 0.00

a = 7.3517 Å, b = 7.3517 Å, c = 7.9157 Å
α = 90.00°, β = 90.00°, γ = 120.00°
Space group P312 (No. 149)
One atom of each set of equivalent atoms:
Cs1 0.0000 0.0000 0.0000 [1 per cell]
Al1 0.6667 0.3333 0.5000 [1 per cell]
Sn1 0.3333 0.6667 0.5000 [1 per cell]
Br1 0.3938 0.0479 0.6891 [6 per cell]



A plane-wave DFT calculation with PBE was carried out for an optimized crystal structure of CsSrAlBr2.

## Properties
Formation energy (no corrections) in eV/atom: -0.84
Magnetization in μB/f.u.: 1.3
DFT total energy in Ry/atom: -0.203
Density of states at the Fermi level in states/eV/atom: 0.91

a = 6.026 Å, b = 6.026 Å, c = 6.539 Å
α = 90.00°, β = 90.00°, γ = 90.00°
Space group P4/mmm (No. 123)
One atom of each set of equivalent atoms:
Cs1 0.000 0.000 0.000 [1 per cell]
Sr1 0.500 0.500 0.500 [1 per cell]
Al1 0.500 0.500 0.000 [1 per cell]
Br1 0.000 0.500 0.500 [2 per cell]



A plane-wave DFT calculation with PBE was carried out for an optimized crystal structure of Cs2TaAlBr6.

## Properties
Formation energy (no corrections) in eV/atom: -1.01
Magnetization in μB/f.u.: 2.0
DFT total energy in Ry/atom: -0.275
Density of states at the Fermi level in states/eV/atom: 0.89

a = 11.327 Å, b = 11.327 Å, c = 11.327 Å
α = 90.00°, β = 90.00°, γ = 90.00°
Space group Fm-3m (No. 225)
One atom of each set of equivalent atoms:
Cs1 0.250 0.250 0.250 [8 per cell]
Ta1 0.000 0.000 0.000 [4 per cell]
Al1 0.000 0.000 0.500 [4 per cell]
Br1 0.000 0.000 0.234 [24 per cell]